(1)
Computed, not measured: a relaxed AcTbOs crystal at the PBE level of DFT.

As for the energy: -6.715 eV/atom. The value obtained for the total magnetization is 0.00 μB per cell. The value obtained for the formation enthalpy at 0 K is -0.06 eV per atom.

a b c (Å): 4.991 4.991 4.991
angles (deg): 60.00 60.00 60.00
Sites, in units of the cell vectors:
Tb (0.500, 0.500, 0.500)
Ac (0.000, 0.000, 0.000)
Os (0.250, 0.250, 0.250)

---

(2)
Computed, not measured: a relaxed AcTbOs crystal at the PBE level of DFT.

As for the energy: -6.656 eV/atom. The value obtained for the total magnetization is 0.00 μB per cell. The value obtained for the formation enthalpy at 0 K is 0.00 eV per atom.

a b c (Å): 3.553 3.553 7.422
angles (deg): 103.85 103.85 90.00
Sites, in units of the cell vectors:
Tb (0.047, 0.047, 0.095)
Ac (0.294, 0.294, 0.588)
Os (0.659, 0.659, 0.317)

---

(3)
Computed, not measured: a relaxed AcTb2Os crystal at the PBE level of DFT.

As for the energy: -5.928 eV/atom. The value obtained for the total magnetization is 0.00 μB per cell. The value obtained for the formation enthalpy at 0 K is 0.22 eV per atom.

a b c (Å): 3.898 3.898 11.005
angles (deg): 79.80 79.80 60.00
Sites, in units of the cell vectors:
Tb (0.118, 0.118, 0.647)
Tb (0.882, 0.882, 0.353)
Ac (0.000, 0.000, 0.000)
Os (0.500, 0.500, 0.500)

---

(4)
Computed, not measured: a relaxed AcTbOs crystal at the PBE level of DFT.

As for the energy: -6.364 eV/atom. The value obtained for the total magnetization is 0.00 μB per cell. The value obtained for the formation enthalpy at 0 K is 0.29 eV per atom.

a b c (Å): 4.900 4.980 8.751
angles (deg): 106.53 106.26 90.00
Sites, in units of the cell vectors:
Ac (0.605, 0.105, 0.210)
Ac (0.395, 0.895, 0.790)
Os (0.750, 0.500, 0.000)
Os (0.250, 0.500, 0.000)
Tb (0.165, 0.665, 0.330)
Tb (0.835, 0.335, 0.670)

---

(5)
Computed, not measured: a relaxed AcTbOs4 crystal at the PBE level of DFT.

As for the energy: -8.921 eV/atom. The value obtained for the total magnetization is 0.00 μB per cell. The value obtained for the formation enthalpy at 0 K is 0.02 eV per atom.

a b c (Å): 5.479 5.479 5.479
angles (deg): 60.00 60.00 60.00
Sites, in units of the cell vectors:
Tb (0.250, 0.250, 0.250)
Ac (0.000, 0.000, 0.000)
Os (0.624, 0.624, 0.127)
Os (0.624, 0.127, 0.624)
Os (0.624, 0.624, 0.624)
Os (0.127, 0.624, 0.624)

---

(6)
Computed, not measured: a relaxed AcTb2Os crystal at the PBE level of DFT.

As for the energy: -6.218 eV/atom. The value obtained for the total magnetization is 0.00 μB per cell. The value obtained for the formation enthalpy at 0 K is -0.07 eV per atom.

a b c (Å): 3.505 3.505 9.576
angles (deg): 90.00 90.00 90.00
Sites, in units of the cell vectors:
Tb (0.000, 0.000, 0.829)
Tb (0.000, 0.000, 0.171)
Ac (0.500, 0.500, 0.500)
Os (0.500, 0.500, 0.000)